1.
Compound: Li7GaAg4
Source: the Alexandria database
Functional: GGA-PBE
Structure: optimized geometry

Cell: 6.880 6.880 7.681 Å, 117.26 117.26 40.79°
Fractional coordinates of all 12 atoms:
1 Li 0.000 0.000 0.000
2 Li 0.275 0.275 0.749
3 Li 0.298 0.298 0.131
4 Li 0.425 0.425 0.586
5 Li 0.575 0.575 0.414
6 Li 0.702 0.702 0.869
7 Li 0.725 0.725 0.251
8 Ga 0.500 0.500 0.000
9 Ag 0.064 0.064 0.715
10 Ag 0.179 0.179 0.368
11 Ag 0.821 0.821 0.632
12 Ag 0.936 0.936 0.285

Summary:
Symmetry: C2/m
Formation energy: -8.8 kJ per mole of atoms

***

2.
Compound: SiTc2Ru
Source: the Alexandria database
Functional: GGA-PBE
Structure: optimized geometry

Cell: 6.064 6.064 6.064 Å, 90.00 90.00 90.00°
Fractional coordinates of all 16 atoms:
1 Si 0.000 0.000 0.000
2 Si 0.000 0.500 0.500
3 Si 0.500 0.000 0.500
4 Si 0.500 0.500 0.000
5 Tc 0.000 0.000 0.500
6 Tc 0.000 0.500 0.000
7 Tc 0.250 0.250 0.750
8 Tc 0.250 0.750 0.250
9 Tc 0.500 0.000 0.000
10 Tc 0.500 0.500 0.500
11 Tc 0.750 0.250 0.250
12 Tc 0.750 0.750 0.750
13 Ru 0.250 0.250 0.250
14 Ru 0.250 0.750 0.750
15 Ru 0.750 0.250 0.750
16 Ru 0.750 0.750 0.250

Summary:
Symmetry: F-43m
E_form (uncorrected): -0.1009 eV/atom

***

3.
Compound: Ac3Cd7Ir4
Source: the Alexandria database
Functional: GGA-PBE
Structure: optimized geometry

Cell: 8.778 8.778 10.957 Å, 123.93 123.93 28.76°
Fractional coordinates of all 14 atoms:
1 Ac 0.000 0.000 0.000
2 Ac 0.301 0.301 0.283
3 Ac 0.699 0.699 0.717
4 Cd 0.000 0.000 0.500
5 Cd 0.169 0.169 0.430
6 Cd 0.323 0.323 0.994
7 Cd 0.482 0.482 0.703
8 Cd 0.518 0.518 0.297
9 Cd 0.677 0.677 0.006
10 Cd 0.831 0.831 0.570
11 Ir 0.107 0.107 0.805
12 Ir 0.338 0.338 0.750
13 Ir 0.662 0.662 0.250
14 Ir 0.893 0.893 0.195

Summary:
Symmetry: C2/m
Formation energy: -28.9 kJ per mole of atoms

***

4.
Compound: Ga2OF
Source: the Alexandria database
Functional: GGA-PBE
Structure: optimized geometry

Cell: 5.959 5.959 5.959 Å, 90.00 90.00 90.00°
Fractional coordinates of all 16 atoms:
1 Ga 0.250 0.250 0.250
2 Ga 0.250 0.250 0.750
3 Ga 0.250 0.750 0.250
4 Ga 0.250 0.750 0.750
5 Ga 0.750 0.250 0.250
6 Ga 0.750 0.250 0.750
7 Ga 0.750 0.750 0.250
8 Ga 0.750 0.750 0.750
9 O 0.000 0.000 0.000
10 O 0.000 0.500 0.500
11 O 0.500 0.000 0.500
12 O 0.500 0.500 0.000
13 F 0.000 0.000 0.500
14 F 0.000 0.500 0.000
15 F 0.500 0.000 0.000
16 F 0.500 0.500 0.500

Summary:
ΔE to the lowest computed polymorph: 102 kJ/mol of formula units
Symmetry: Fm-3m
E_form (uncorrected): -0.7727 eV/atom

***

5.
Compound: KIn2SnPb
Source: the Alexandria database
Functional: GGA-PBE
Structure: optimized geometry

Cell: 4.884 5.527 12.477 Å, 90.00 90.00 90.00°
Fractional coordinates of all 10 atoms:
1 K 0.000 0.000 0.000
2 K 0.500 0.500 0.500
3 In 0.000 0.000 0.375
4 In 0.000 0.500 0.267
5 In 0.500 0.000 0.767
6 In 0.500 0.500 0.875
7 Sn 0.000 0.500 0.737
8 Sn 0.500 0.000 0.237
9 Pb 0.000 0.000 0.616
10 Pb 0.500 0.500 0.116

Summary:
Symmetry: Imm2
Formation energy: -9.3 kJ per mole of atoms

***

6.
Compound: CaPm9Tm2
Source: the Alexandria database
Functional: GGA-PBE
Structure: optimized geometry

Cell: 5.140 5.140 15.443 Å, 90.00 90.00 90.00°
Fractional coordinates of all 12 atoms:
1 Ca 0.000 0.000 0.000
2 Pm 0.000 0.500 0.173
3 Pm 0.000 0.500 0.500
4 Pm 0.000 0.500 0.827
5 Pm 0.500 0.000 0.173
6 Pm 0.500 0.000 0.500
7 Pm 0.500 0.000 0.827
8 Pm 0.500 0.500 0.000
9 Pm 0.500 0.500 0.335
10 Pm 0.500 0.500 0.665
11 Tm 0.000 0.000 0.335
12 Tm 0.000 0.000 0.665

Summary:
Symmetry: P4/mmm
Formation energy: 3.5 kJ per mole of atoms

***

7.
Compound: LiLaW2
Source: the Alexandria database
Functional: GGA-PBE
Structure: optimized geometry

Cell: 2.822 5.272 5.173 Å, 90.00 96.46 90.00°
Fractional coordinates of all 4 atoms:
1 Li 0.000 0.000 0.000
2 La 0.500 0.000 0.500
3 W 0.192 0.500 0.751
4 W 0.808 0.500 0.249

Summary:
ΔE to the lowest computed polymorph: 110 kJ/mol of formula units
Symmetry: P2/m
Formation energy: 71.0 kJ per mole of atoms

***

8.
Compound: SmDy2SbO8
Source: the Alexandria database
Functional: GGA-PBE
Structure: optimized geometry

Cell: 4.103 7.373 5.252 Å, 90.00 94.19 90.00°
Fractional coordinates of all 12 atoms:
1 Sm 0.000 0.000 0.000
2 Dy 0.500 0.255 0.500
3 Dy 0.500 0.745 0.500
4 Sb 0.000 0.500 0.000
5 O 0.048 0.285 0.756
6 O 0.048 0.715 0.756
7 O 0.427 0.500 0.216
8 O 0.494 0.000 0.254
9 O 0.506 0.000 0.746
10 O 0.573 0.500 0.784
11 O 0.952 0.285 0.244
12 O 0.952 0.715 0.244

Summary:
Symmetry: P2/m
E_form (uncorrected): -2.4641 eV/atom

***

Number 1: volume 17.27 A^3/atom, total magnetic moment 0.00 μB/f.u.. Number 2: volume 13.94 A^3/atom, total magnetic moment 1.39 μB/f.u.. Number 3: volume 23.71 A^3/atom, total magnetic moment 0.00 μB/f.u.. Number 4: volume 13.22 A^3/atom, total magnetic moment 0.00 μB/f.u.. Number 5: volume 33.68 A^3/atom, total magnetic moment 0.00 μB/f.u.. Number 6: volume 34.00 A^3/atom, total magnetic moment 0.00 μB/f.u.. Number 7: volume 19.12 A^3/atom, total magnetic moment 0.00 μB/f.u.. Number 8: volume 13.20 A^3/atom, total magnetic moment 1.96 μB/f.u..